VASP calculation (PBE) on a relaxed CeSmY6 crystal.

Calculated values
Relative energy among the computed polymorphs   0 meV per atom
Calculated volume   259.1 Å³ per cell
Electronic total energy   -6.13 eV per atom
Size of the total moment   0.95 μB/f.u.

Unit cell a=5.0647 b=5.0647 c=10.1020 alpha=90.00 beta=90.00 gamma=90.00
Space group P4/mmm (No. 123)
One atom of each set of equivalent atoms:
Ce  0.0000  0.0000  0.0000 [1 per cell]
Sm  0.0000  0.0000  0.5000 [1 per cell]
Y  0.0000  0.5000  0.2475 [4 per cell]
Y  0.5000  0.5000  0.0000 [1 per cell]
Y  0.5000  0.5000  0.5000 [1 per cell]

VASP calculation (PBE) on a relaxed KLi2Au crystal.

Calculated values
Calculated volume   196.5 Å³ per cell
Electronic total energy   -2.08 eV per atom
Size of the total moment   0.00 μB/f.u.

Unit cell a=4.6301 b=4.6301 c=9.1682 alpha=90.00 beta=90.00 gamma=90.00
Space group I-4m2 (No. 119)
One atom of each set of equivalent atoms:
K  0.0000  0.0000  0.0000 [2 per cell]
Li  0.0000  0.0000  0.5000 [2 per cell]
Li  0.0000  0.5000  0.7500 [2 per cell]
Au  0.0000  0.5000  0.2500 [2 per cell]

VASP calculation (PBE) on a relaxed Ca2DyP3Pt12 crystal.

Calculated values
Calculated volume   1060.8 Å³ per cell
Electronic total energy   -5.83 eV per atom
Size of the total moment   0.00 μB/f.u.

Unit cell a=8.3525 b=8.3525 c=17.5570 alpha=90.00 beta=90.00 gamma=120.00
Space group R-3m (No. 166, hexagonal axes)
One atom of each set of equivalent atoms:
Ca  0.0000  0.0000  0.0950 [6 per cell]
Dy  0.0000  0.0000  0.5000 [3 per cell]
P  0.0000  0.5000  0.0000 [9 per cell]
Pt  0.0283  0.5142  0.8699 [18 per cell]
Pt  0.0405  0.5202  0.3596 [18 per cell]

VASP calculation (PBE) on a relaxed LiCu2PO4 crystal.

Calculated values
Relative energy among the computed polymorphs   36 meV per atom
Calculated volume   174.9 Å³ per cell
Electronic total energy   -5.90 eV per atom
Uncorrected formation energy   -1.4834 eV per atom
Size of the total moment   0.00 μB/f.u.

Unit cell a=4.3388 b=4.3388 c=9.2907 alpha=90.00 beta=90.00 gamma=90.00
Space group I-42m (No. 121)
One atom of each set of equivalent atoms:
Li  0.0000  0.0000  0.0000 [2 per cell]
Cu  0.0000  0.5000  0.2500 [4 per cell]
P  0.0000  0.0000  0.5000 [2 per cell]
O  0.2093  0.2093  0.4043 [8 per cell]

VASP calculation (PBE) on a relaxed Mg2PbW crystal.

Calculated values
Calculated volume   160.0 Å³ per cell
Electronic total energy   -4.37 eV per atom
Size of the total moment   0.00 μB/f.u.

Unit cell a=4.1033 b=4.1033 c=9.5002 alpha=90.00 beta=90.00 gamma=90.00
Space group I4/mmm (No. 139)
One atom of each set of equivalent atoms:
Mg  0.0000  0.5000  0.2500 [4 per cell]
Pb  0.0000  0.0000  0.0000 [2 per cell]
W  0.0000  0.0000  0.5000 [2 per cell]

VASP calculation (PBE) on a relaxed Cd2IrBr8 crystal.

Calculated values
Calculated volume   767.3 Å³ per cell
Electronic total energy   -2.68 eV per atom
Uncorrected formation energy   -0.4925 eV per atom
Size of the total moment   1.11 μB/f.u.

Unit cell a=15.4674 b=7.3073 c=6.7895 alpha=90.00 beta=91.08 gamma=90.00
Space group C2/m (No. 12)
One atom of each set of equivalent atoms:
Cd  0.1544  0.0000  0.4509 [4 per cell]
Ir  0.0000  0.0000  0.0000 [2 per cell]
Br  0.0528  0.2378  0.2384 [8 per cell]
Br  0.1457  0.0000  0.8500 [4 per cell]
Br  0.1833  0.5000  0.6067 [4 per cell]